# BeSbTe2

A geometry-optimized BeSbTe2 structure (PBE-GGA, Alexandria).

Results
The uncorrected energy is -11.8 eV per cell. For the formation energy from raw total energies, the calculation gives 577 meV per atom. As for the crystal system: cubic. As for the density: 6.57 Mg/m³. The total moment comes out at 0.0 μB per cell. The polymorph energy (0 for the lowest one) is 550 meV per atom.

abc: 5.1684 5.1684 5.1684
angles: 60.00 60.00 60.00
Closest atoms and distances in Å follow each position.
Fractional positions:
1 Sb 0.5000 0.5000 0.5000  8 Te 3.17
2 Te 0.2500 0.2500 0.2500  4 Sb 3.17, 4 Be 3.17
3 Te 0.7500 0.7500 0.7500  4 Sb 3.17, 4 Be 3.17
4 Be 0.0000 0.0000 0.0000  8 Te 3.17